Below is a PBEsol-optimized structure of Ni3AgAu, with properties calculated at the meta-GGA SCAN level.

a b c (Å): 4.5765 4.5765 4.5765
angles (deg): 90.00 90.00 90.00
Space group Pm-3m (No. 221)
Symmetry-distinct sites (fractional):
1 Ni 0.0000 0.0000 0.5000
2 Ag 0.5000 0.5000 0.5000
3 Au 0.0000 0.0000 0.0000

Results
VASP energy: -142.9 eV/f.u.
Size of the total moment: 3.42 μB per formula unit

---

Below is a PBEsol-optimized structure of LiAgF4, with properties calculated at the meta-GGA SCAN level.

a b c (Å): 6.3084 6.5159 3.4081
angles (deg): 90.00 90.00 90.00
Space group Cmmm (No. 65)
Symmetry-distinct sites (fractional):
1 Li 0.0000 0.0000 0.0000
2 Ag 0.0000 0.5000 0.5000
3 F 0.0000 0.3005 0.0000
4 F 0.1909 0.0000 0.5000

Results
VASP energy: -58.6 eV/f.u.
Energy above the most stable polymorph in this dataset: 78 meV per atom
Size of the total moment: 0.87 μB per formula unit

---

Below is a PBEsol-optimized structure of Cs3ZrOs, with properties calculated at the meta-GGA SCAN level.

a b c (Å): 5.9077 5.9077 5.9077
angles (deg): 90.00 90.00 90.00
Space group Pm-3m (No. 221)
Symmetry-distinct sites (fractional):
1 Cs 0.0000 0.0000 0.5000
2 Zr 0.5000 0.5000 0.5000
3 Os 0.0000 0.0000 0.0000

Results
VASP energy: -205.9 eV/f.u.
Size of the total moment: 2.61 μB per formula unit